Record 1
The following is a PBE calculation of a geometry-optimized YMgTa2 structure, from Alexandria.

Properties
* magnetic moment: 0.0 μB per cell
* VASP energy: -7.62 eV/atom

Cell and atoms, written as CIF:
```
data_YMgTa2
_chemical_formula_sum 'Y1 Mg1 Ta2'
_symmetry_space_group_name_H-M 'P 1 m 1'
_symmetry_Int_Tables_number 6
_cell_length_a 3.014
_cell_length_b 4.815
_cell_length_c 6.203
_cell_angle_alpha 90.00
_cell_angle_beta 103.70
_cell_angle_gamma 90.00
loop_
_symmetry_equiv_pos_as_xyz
'x,y,z'
'x,-y,z'
loop_
_atom_site_label
_atom_site_fract_x
_atom_site_fract_y
_atom_site_fract_z
Y1 0.000 0.000 0.000
Mg1 0.657 0.500 0.294
Ta1 0.272 0.500 0.736
Ta2 0.358 0.000 0.543
```

=====

Record 2
The following is a PBE calculation of a geometry-optimized YMgTa structure, from Alexandria.

Properties
* magnetic moment: 9.7 μB per cell
* energy above the lowest structure with this stoichiometry: 1170 meV/atom
* VASP energy: -5.21 eV/atom

Cell and atoms, written as CIF:
```
data_YMgTa
_chemical_formula_sum 'Y4 Mg4 Ta4'
_symmetry_space_group_name_H-M 'F -4 3 m'
_symmetry_Int_Tables_number 216
_symmetry_space_group_name_Hall 'F -4 2 3'
_cell_length_a 7.019
_cell_length_b 7.019
_cell_length_c 7.019
_cell_angle_alpha 90.00
_cell_angle_beta 90.00
_cell_angle_gamma 90.00
loop_
_atom_site_label
_atom_site_fract_x
_atom_site_fract_y
_atom_site_fract_z
Y1 0.000 0.000 0.000
Mg1 0.250 0.250 0.750
Ta1 0.250 0.250 0.250
```

=====

Record 3
The following is a PBE calculation of a geometry-optimized YMg2Ta structure, from Alexandria.

Properties
* magnetic moment: 0.0 μB per cell
* energy above the lowest structure with this stoichiometry: 188 meV/atom
* VASP energy: -5.00 eV/atom

Cell and atoms, written as CIF:
```
data_YMg2Ta
_chemical_formula_sum 'Y1 Mg2 Ta1'
_symmetry_space_group_name_H-M 'P m m m'
_symmetry_Int_Tables_number 47
_cell_length_a 3.203
_cell_length_b 5.156
_cell_length_c 5.496
_cell_angle_alpha 90.00
_cell_angle_beta 90.00
_cell_angle_gamma 90.00
loop_
_symmetry_equiv_pos_as_xyz
'x,y,z'
'-x,-y,-z'
'-x,-y,z'
'x,y,-z'
'x,-y,-z'
'-x,y,z'
'-x,y,-z'
'x,-y,z'
loop_
_atom_site_label
_atom_site_fract_x
_atom_site_fract_y
_atom_site_fract_z
Y1 0.000 0.000 0.000
Mg1 0.000 0.500 0.500
Mg2 0.500 0.000 0.500
Ta1 0.500 0.500 0.000
```

=====

> Which value of VASP energy does entry 2 give?

-5.21 eV/atom

=====

> The lowest VASP energy belongs to which entry?

YMgTa2